Density functional theory data (PBE-GGA) for a geometry-optimized Tl4SClF structure.

ΔE_f (raw) = -6.206 eV per formula unit
SG = P2_1/m, No. 11
E_tot = -47.03 eV for the cell shown

Cell lengths 7.215, 7.180, 8.732 Å; angles 90.00, 107.71, 90.00 degrees
Element x y z (fractional)
Tl (0.046, 0.009, 0.237)
Tl (0.046, 0.491, 0.237)
Tl (0.420, 0.250, 0.625)
Tl (0.451, 0.250, 0.098)
Tl (0.549, 0.750, 0.902)
Tl (0.580, 0.750, 0.375)
Tl (0.954, 0.509, 0.763)
Tl (0.954, 0.991, 0.763)
S (0.268, 0.750, 0.073)
S (0.732, 0.250, 0.927)
Cl (0.232, 0.750, 0.547)
Cl (0.768, 0.250, 0.453)
F (0.201, 0.250, 0.811)
F (0.799, 0.750, 0.189)